RbVIn2O | Alexandria via LeMat-Bulk | PBE+U | optimized geometry; space-group type = P4/mmm; electronic total energy = -3.0446 eV/atom; M_tot = 0.000 Bohr magnetons per cell
1.0
4.806 0.000 0.000
0.000 5.064 0.000
0.000 0.000 4.806
V O Rb In
1 1 1 2
Cartesian
2.403 2.532 2.403
0.000 0.000 0.000
0.000 2.532 0.000
0.000 0.000 2.403
2.403 0.000 0.000